(1)
Entry from Alexandria via LeMat-Bulk: a relaxed structure of HoPaCl2F6 (PBE-GGA).

formation energy without anion corrections	-3.235	eV/atom
crystal system	cubic

abc: 6.2102 6.2102 6.2102
angles: 60.00 60.00 60.00
Fractional coordinates of all 10 atoms:
Ho: 0.0000 0.0000 0.0000
Pa: 0.5000 0.5000 0.5000
Cl: 0.2500 0.2500 0.2500
Cl: 0.7500 0.7500 0.7500
F: 0.2540 0.2540 0.7460
F: 0.2540 0.7460 0.2540
F: 0.2540 0.7460 0.7460
F: 0.7460 0.2540 0.2540
F: 0.7460 0.2540 0.7460
F: 0.7460 0.7460 0.2540

(2)
Entry from Alexandria via LeMat-Bulk: a relaxed structure of SrScH3 (PBE-GGA).

energy relative to the lowest polymorph listed for this composition	0	meV per atom
crystal system	cubic

abc: 4.0849 4.0849 4.0849
angles: 90.00 90.00 90.00
Fractional coordinates of all 5 atoms:
Sr: 0.0000 0.0000 0.0000
Sc: 0.5000 0.5000 0.5000
H: 0.0000 0.5000 0.5000
H: 0.5000 0.0000 0.5000
H: 0.5000 0.5000 0.0000

(3)
Entry from Alexandria via LeMat-Bulk: a relaxed structure of LiCaAg2 (PBE-GGA).

energy relative to the lowest polymorph listed for this composition	3	meV per atom
crystal system	monoclinic
DFT formation energy	-0.242	eV/atom

abc: 4.5983 4.5983 5.6219
angles: 114.09 114.09 59.91
Fractional coordinates of all 4 atoms:
Li: 0.0000 0.0000 0.0000
Ca: 0.5000 0.5000 0.5000
Ag: 0.2889 0.2889 0.8662
Ag: 0.7111 0.7111 0.1338

(4)
Entry from Alexandria via LeMat-Bulk: a relaxed structure of LiTeP (PBE-GGA).

formation energy without anion corrections	0.019	eV/atom
energy relative to the lowest polymorph listed for this composition	184	meV per atom
crystal system	tetragonal

abc: 5.4198 5.4198 5.3793
angles: 90.00 90.00 90.00
Fractional coordinates of all 6 atoms:
Li: 0.2500 0.2500 0.1615
Li: 0.7500 0.7500 0.8385
Te: 0.2500 0.2500 0.6494
Te: 0.7500 0.7500 0.3506
P: 0.2500 0.7500 0.5000
P: 0.7500 0.2500 0.5000

(5)
Entry from Alexandria via LeMat-Bulk: a relaxed structure of BaIrC3 (PBE-GGA).

energy relative to the lowest polymorph listed for this composition	2757	meV per atom
crystal system	cubic
DFT formation energy	4.234	eV/atom

abc: 4.4827 4.4827 4.4827
angles: 90.00 90.00 90.00
Fractional coordinates of all 5 atoms:
Ba: 0.0000 0.0000 0.0000
Ir: 0.5000 0.5000 0.5000
C: 0.0000 0.0000 0.5000
C: 0.0000 0.5000 0.0000
C: 0.5000 0.0000 0.0000

(6)
Entry from Alexandria via LeMat-Bulk: a relaxed structure of TmBeCoB2 (PBE-GGA).

crystal system	tetragonal
DFT formation energy	-0.383	eV/atom

abc: 5.0349 5.0349 5.0349
angles: 139.60 139.60 58.46
Fractional coordinates of all 5 atoms:
Tm: 0.0000 0.0000 0.0000
Be: 0.7500 0.2500 0.5000
Co: 0.2500 0.7500 0.5000
B: 0.3850 0.3850 0.0000
B: 0.6150 0.6150 0.0000

(7)
Entry from Alexandria via LeMat-Bulk: a relaxed structure of TlCd3Os (PBE-GGA).

energy relative to the lowest polymorph listed for this composition	0	meV per atom
crystal system	cubic
DFT formation energy	0.619	eV/atom

abc: 5.2481 5.2481 5.2481
angles: 90.00 90.00 90.00
Fractional coordinates of all 5 atoms:
Tl: 0.0000 0.0000 0.0000
Cd: 0.0000 0.5000 0.5000
Cd: 0.5000 0.0000 0.5000
Cd: 0.5000 0.5000 0.0000
Os: 0.5000 0.5000 0.5000

(8)
Entry from Alexandria via LeMat-Bulk: a relaxed structure of NpNiB4 (PBE-GGA).

crystal system	orthorhombic
DFT formation energy	-0.392	eV/atom

abc: 5.9219 11.4922 3.3670
angles: 90.00 90.00 90.00
Fractional coordinates of all 24 atoms:
Np: 0.1269 0.1502 0.0000
Np: 0.3731 0.6502 0.0000
Np: 0.6269 0.3498 0.0000
Np: 0.8731 0.8498 0.0000
Ni: 0.1317 0.4130 0.0000
Ni: 0.3683 0.9130 0.0000
Ni: 0.6317 0.0870 0.0000
Ni: 0.8683 0.5870 0.0000
B: 0.0268 0.6924 0.5000
B: 0.1143 0.5471 0.5000
B: 0.1355 0.9667 0.5000
B: 0.2167 0.8135 0.5000
B: 0.2833 0.3135 0.5000
B: 0.3645 0.4667 0.5000
B: 0.3857 0.0471 0.5000
B: 0.4732 0.1924 0.5000
B: 0.5268 0.8076 0.5000
B: 0.6143 0.9529 0.5000
B: 0.6355 0.5333 0.5000
B: 0.7167 0.6865 0.5000
B: 0.7833 0.1865 0.5000
B: 0.8645 0.0333 0.5000
B: 0.8857 0.4529 0.5000
B: 0.9732 0.3076 0.5000

(9)
Entry from Alexandria via LeMat-Bulk: a relaxed structure of Ta2Mo7W2 (PBE-GGA).

energy relative to the lowest polymorph listed for this composition	84	meV per atom
crystal system	monoclinic
DFT formation energy	0.299	eV/atom

abc: 5.2608 5.2608 7.9787
angles: 96.74 96.74 118.37
Fractional coordinates of all 11 atoms:
Ta: 0.2471 0.7529 0.0000
Ta: 0.7529 0.2471 0.0000
Mo: 0.0228 0.5336 0.3385
Mo: 0.3913 0.3913 0.1657
Mo: 0.4664 0.9772 0.6615
Mo: 0.5000 0.5000 0.5000
Mo: 0.5336 0.0228 0.3385
Mo: 0.6087 0.6087 0.8343
Mo: 0.9772 0.4664 0.6615
W: 0.1026 0.1026 0.8172
W: 0.8974 0.8974 0.1828

(10)
Entry from Alexandria via LeMat-Bulk: a relaxed structure of Cr4Mo3 (PBE-GGA).

energy relative to the lowest polymorph listed for this composition	0	meV per atom
crystal system	tetragonal
DFT formation energy	0.080	eV/atom

abc: 10.7200 10.7200 10.7200
angles: 163.90 163.90 22.85
Fractional coordinates of all 7 atoms:
Cr: 0.0718 0.0718 0.0000
Cr: 0.3614 0.3614 0.0000
Cr: 0.6386 0.6386 0.0000
Cr: 0.9282 0.9282 0.0000
Mo: 0.2101 0.2101 0.0000
Mo: 0.5000 0.5000 0.0000
Mo: 0.7899 0.7899 0.0000

(11)
Entry from Alexandria via LeMat-Bulk: a relaxed structure of TiBSb (PBE-GGA).

formation energy without anion corrections	0.281	eV/atom
crystal system	orthorhombic

abc: 6.9368 6.9368 6.9368
angles: 152.32 138.92 50.26
Fractional coordinates of all 6 atoms:
Ti: 0.1278 0.1278 0.0000
Ti: 0.8722 0.8722 0.0000
B: 0.3296 0.0000 0.3296
B: 0.6704 0.0000 0.6704
Sb: 0.3593 0.3593 0.0000
Sb: 0.6407 0.6407 0.0000

(12)
Entry from Alexandria via LeMat-Bulk: a relaxed structure of YAsBr2F (PBE-GGA).

formation energy without anion corrections	-0.726	eV/atom
energy relative to the lowest polymorph listed for this composition	0	meV per atom
crystal system	tetragonal

abc: 5.4421 5.4421 5.9598
angles: 90.00 90.00 90.00
Fractional coordinates of all 5 atoms:
Y: 0.0000 0.0000 0.0000
As: 0.0000 0.0000 0.5000
Br: 0.0000 0.5000 0.0000
Br: 0.5000 0.0000 0.0000
F: 0.5000 0.5000 0.5000

(13)
Entry from Alexandria via LeMat-Bulk: a relaxed structure of CeSm2Y4 (PBE-GGA).

crystal system	monoclinic
DFT formation energy	0.038	eV/atom

abc: 3.6158 3.6158 20.3689
angles: 95.12 95.12 59.94
Fractional coordinates of all 7 atoms:
Ce: 0.0000 0.0000 0.0000
Sm: 0.8177 0.8177 0.4275
Sm: 0.9077 0.9077 0.7143
Y: 0.0984 0.0984 0.2830
Y: 0.1947 0.1947 0.5712
Y: 0.6246 0.6246 0.8576
Y: 0.7197 0.7197 0.1423

(14)
Entry from Alexandria via LeMat-Bulk: a relaxed structure of Sc3ReIr (PBE-GGA).

energy relative to the lowest polymorph listed for this composition	110	meV per atom
crystal system	cubic
DFT formation energy	0.593	eV/atom

abc: 4.8805 4.8805 4.8805
angles: 90.00 90.00 90.00
Fractional coordinates of all 5 atoms:
Sc: 0.0000 0.0000 0.5000
Sc: 0.0000 0.5000 0.0000
Sc: 0.5000 0.0000 0.0000
Re: 0.0000 0.0000 0.0000
Ir: 0.5000 0.5000 0.5000

(15)
Entry from Alexandria via LeMat-Bulk: a relaxed structure of Al2TcNi (PBE-GGA).

crystal system	orthorhombic
DFT formation energy	0.375	eV/atom

abc: 5.5692 5.5692 5.5692
angles: 152.43 131.20 56.96
Fractional coordinates of all 4 atoms:
Al: 0.2313 0.2313 0.0000
Al: 0.7687 0.7687 0.0000
Tc: 0.5000 0.5000 0.0000
Ni: 0.0000 0.0000 0.0000

(16)
Entry from Alexandria via LeMat-Bulk: a relaxed structure of BaC2S (PBE-GGA).

formation energy without anion corrections	1.043	eV/atom
crystal system	tetragonal

abc: 5.4732 5.4732 5.4732
angles: 114.34 114.34 100.13
Fractional coordinates of all 8 atoms:
Ba: 0.0000 0.0000 0.0000
Ba: 0.7500 0.2500 0.5000
C: 0.2649 0.6250 0.1399
C: 0.3750 0.5149 0.6399
C: 0.4851 0.1250 0.8601
C: 0.8750 0.7351 0.3601
S: 0.2500 0.7500 0.5000
S: 0.5000 0.5000 0.0000

(17)
Entry from Alexandria via LeMat-Bulk: a relaxed structure of BeSiAg (PBE-GGA).

formation energy without anion corrections	0.278	eV/atom
energy relative to the lowest polymorph listed for this composition	0	meV per atom
crystal system	cubic

abc: 3.9688 3.9688 3.9688
angles: 60.00 60.00 60.00
Fractional coordinates of all 3 atoms:
Be: 0.0000 0.0000 0.0000
Si: 0.2500 0.2500 0.2500
Ag: 0.7500 0.7500 0.7500

(18)
Entry from Alexandria via LeMat-Bulk: a relaxed structure of MoRu7 (PBE-GGA).

crystal system	cubic
DFT formation energy	0.079	eV/atom

abc: 5.4333 5.4333 5.4333
angles: 60.00 60.00 60.00
Fractional coordinates of all 8 atoms:
Mo: 0.0000 0.0000 0.0000
Ru: 0.0000 0.0000 0.5000
Ru: 0.0000 0.5000 0.0000
Ru: 0.0000 0.5000 0.5000
Ru: 0.5000 0.0000 0.0000
Ru: 0.5000 0.0000 0.5000
Ru: 0.5000 0.5000 0.0000
Ru: 0.5000 0.5000 0.5000

(19)
Entry from Alexandria via LeMat-Bulk: a relaxed structure of KMgZn2Ni (PBE-GGA).

crystal system	tetragonal
DFT formation energy	0.010	eV/atom

abc: 4.8070 4.8070 4.9081
angles: 90.00 90.00 90.00
Fractional coordinates of all 5 atoms:
K: 0.0000 0.0000 0.0000
Mg: 0.5000 0.5000 0.0000
Zn: 0.0000 0.5000 0.5000
Zn: 0.5000 0.0000 0.5000
Ni: 0.5000 0.5000 0.5000

(20)
Entry from Alexandria via LeMat-Bulk: a relaxed structure of UPd4Pt (PBE-GGA).

energy relative to the lowest polymorph listed for this composition	84	meV per atom
crystal system	cubic
DFT formation energy	-0.346	eV/atom

abc: 5.2565 5.2565 5.2565
angles: 60.00 60.00 60.00
Fractional coordinates of all 6 atoms:
U: 0.0000 0.0000 0.0000
Pd: 0.3752 0.3752 0.3752
Pd: 0.3752 0.3752 0.8745
Pd: 0.3752 0.8745 0.3752
Pd: 0.8745 0.3752 0.3752
Pt: 0.7500 0.7500 0.7500

no.,magnetization (μB per formula unit)
1,0.005
2,0.001
3,0.000
4,0.000
5,0.000
6,0.000
7,0.000
8,2.993
9,0.000
10,0.000
11,0.000
12,1.273
13,0.934
14,0.000
15,0.345
16,0.000
17,0.000
18,0.000
19,0.000
20,0.602